No. 1
! Ac4HoCd5 PBE optimized geometry; values from VASP
&SYSTEM
  ibrav = 0, nat = 10, ntyp = 3
/
ATOMIC_SPECIES
Ac 227.00 Ac.upf
Ho 164.93 Ho.upf
Cd 112.41 Cd.upf
CELL_PARAMETERS angstrom
3.991 0.000 0.000
0.000 3.991 0.000
0.000 0.000 20.201
ATOMIC_POSITIONS angstrom
Ac 0.000 0.000 2.091
Ac 0.000 0.000 6.291
Ac 0.000 0.000 13.910
Ac 0.000 0.000 18.111
Ho 0.000 0.000 10.101
Cd 1.995 1.995 0.000
Cd 1.995 1.995 4.173
Cd 1.995 1.995 8.463
Cd 1.995 1.995 11.738
Cd 1.995 1.995 16.029
! - total magnetization (μB/cell) = 0.026
! - ΔH_f (0 K) (eV per atom) = -0.284
! - SG = P4/mmm, No. 123


No. 2
! Tb2Er3Sc8 PBE optimized geometry; values from VASP
&SYSTEM
  ibrav = 0, nat = 13, ntyp = 3
/
ATOMIC_SPECIES
Tb 158.93 Tb.upf
Er 167.26 Er.upf
Sc 44.96 Sc.upf
CELL_PARAMETERS angstrom
9.940 -3.576 0.000
9.940 3.576 0.000
-0.002 0.000 5.201
ATOMIC_POSITIONS angstrom
Tb 4.765 0.000 2.594
Tb 15.112 0.000 2.607
Er -0.001 0.000 2.600
Er 9.940 1.535 0.000
Er 9.940 -1.535 0.000
Sc 2.570 0.000 5.199
Sc 7.767 1.499 2.598
Sc 6.715 0.000 5.196
Sc 12.109 1.499 2.602
Sc 7.767 -1.499 2.598
Sc 13.162 0.000 0.005
Sc 12.109 -1.499 2.602
Sc 17.307 0.000 0.002
! - total magnetization (μB/cell) = 0.000
! - ΔH_f (0 K) (eV per atom) = 0.285
! - SG = C2/m, No. 12


No. 3
! Rb3AlTl3F8 PBE optimized geometry; values from VASP
&SYSTEM
  ibrav = 0, nat = 15, ntyp = 4
/
ATOMIC_SPECIES
Rb 85.47 Rb.upf
Al 26.98 Al.upf
Tl 204.38 Tl.upf
F 19.00 F.upf
CELL_PARAMETERS angstrom
3.967 2.290 6.410
-3.967 2.290 6.410
0.000 -4.580 6.410
ATOMIC_POSITIONS angstrom
Rb -1.983 -1.145 6.410
Rb -1.983 1.145 12.819
Rb 0.000 2.290 6.410
Al 0.000 0.000 9.615
Tl -3.967 0.000 9.615
Tl -1.983 1.145 3.205
Tl 1.983 1.145 3.205
F 0.000 0.000 4.903
F 0.000 -1.501 8.529
F -1.300 0.751 8.529
F -1.300 -0.751 10.700
F 1.300 0.751 8.529
F 1.300 -0.751 10.700
F 0.000 1.501 10.700
F 0.000 0.000 14.326
! - ΔE_f (raw) (eV/atom) = -2.452
! - total magnetization (μB/cell) = 0.000
! - SG = R-3m, No. 166


No. 4
! AlTcSb2I PBE optimized geometry; values from VASP
&SYSTEM
  ibrav = 0, nat = 5, ntyp = 4
/
ATOMIC_SPECIES
Al 26.98 Al.upf
Tc 98.00 Tc.upf
Sb 121.76 Sb.upf
I 126.90 I.upf
CELL_PARAMETERS angstrom
5.080 0.000 0.000
0.000 5.080 0.000
0.000 0.000 5.976
ATOMIC_POSITIONS angstrom
Al 0.000 0.000 0.000
Tc 2.540 2.540 2.988
Sb 0.000 2.540 2.988
Sb 2.540 0.000 2.988
I 2.540 2.540 0.000
! - ΔE_f (raw) (eV/atom) = 0.557
! - total magnetization (μB/cell) = 0.000
! - SG = P4/mmm, No. 123
! - distance to the lowest polymorph of the same formula (meV per atom) = 0.0


No. 5
! Ac3Tl2Sn4 PBE optimized geometry; values from VASP
&SYSTEM
  ibrav = 0, nat = 9, ntyp = 3
/
ATOMIC_SPECIES
Ac 227.00 Ac.upf
Tl 204.38 Tl.upf
Sn 118.71 Sn.upf
CELL_PARAMETERS angstrom
8.433 0.000 0.000
-4.217 7.304 0.000
0.000 0.000 4.772
ATOMIC_POSITIONS angstrom
Ac -1.637 2.836 0.000
Ac 3.275 0.000 0.000
Ac 2.579 4.468 0.000
Tl 0.000 4.869 2.386
Tl 4.217 2.435 2.386
Sn 0.000 0.000 0.000
Sn -3.122 5.407 2.386
Sn 1.095 1.896 2.386
Sn 6.244 0.000 2.386
! - total magnetization (μB/cell) = 0.000
! - ΔH_f (0 K) (eV per atom) = -0.409
! - SG = P-62m, No. 189


No. 6
! ZrGeOs PBE optimized geometry; values from VASP
&SYSTEM
  ibrav = 0, nat = 6, ntyp = 3
/
ATOMIC_SPECIES
Zr 91.22 Zr.upf
Ge 72.64 Ge.upf
Os 190.23 Os.upf
CELL_PARAMETERS angstrom
3.884 -2.270 0.000
3.884 2.270 0.000
-3.563 0.000 6.372
ATOMIC_POSITIONS angstrom
Zr 0.000 0.000 0.000
Zr -0.987 0.000 3.308
Ge 1.594 0.000 4.851
Ge 4.183 0.000 1.853
Os -0.936 0.000 6.017
Os 1.614 0.000 2.235
! - total magnetization (μB/cell) = 0.000
! - ΔH_f (0 K) (eV per atom) = -0.381
! - SG = Cm, No. 8


No. 7
! PmDyW2N6 PBE optimized geometry; values from VASP
&SYSTEM
  ibrav = 0, nat = 20, ntyp = 4
/
ATOMIC_SPECIES
Pm 145.00 Pm.upf
Dy 162.50 Dy.upf
W 183.84 W.upf
N 14.01 N.upf
CELL_PARAMETERS angstrom
5.475 -4.832 0.000
5.475 4.832 0.000
-2.085 0.000 5.881
ATOMIC_POSITIONS angstrom
Pm 3.911 2.926 4.411
Pm 4.953 -2.926 1.470
Dy 4.953 0.851 1.470
Dy 3.911 -0.851 4.411
W 0.739 0.882 4.401
W 1.782 -0.882 1.460
W 7.083 0.882 4.421
W 8.125 -0.882 1.481
N 3.282 2.347 2.009
N -0.459 0.101 5.716
N 0.583 -0.101 2.776
N 2.494 1.043 5.015
N 6.625 2.347 0.931
N 3.536 -1.043 2.075
N 5.328 1.043 3.806
N 2.240 -2.347 4.950
N 6.370 -1.043 0.866
N 8.281 0.101 3.105
N 9.324 -0.101 0.165
N 5.582 -2.347 3.872
! - ΔE_f (raw) (eV/atom) = -1.004
! - total magnetization (μB/cell) = 0.000
! - SG = C2/c, No. 15


No. 8
! LaGdCdCu PBE optimized geometry; values from VASP
&SYSTEM
  ibrav = 0, nat = 4, ntyp = 4
/
ATOMIC_SPECIES
La 138.91 La.upf
Gd 157.25 Gd.upf
Cd 112.41 Cd.upf
Cu 63.55 Cu.upf
CELL_PARAMETERS angstrom
0.000 3.738 3.738
3.738 0.000 3.738
3.738 3.738 0.000
ATOMIC_POSITIONS angstrom
La 0.000 0.000 0.000
Gd 3.738 3.738 3.738
Cd 1.869 1.869 1.869
Cu 5.607 5.607 5.607
! - total magnetization (μB/cell) = 7.520
! - ΔH_f (0 K) (eV per atom) = -0.198
! - SG = F-43m, No. 216


No. 9
! KCr2Co PBE optimized geometry; values from VASP
&SYSTEM
  ibrav = 0, nat = 4, ntyp = 3
/
ATOMIC_SPECIES
K 39.10 K.upf
Cr 52.00 Cr.upf
Co 58.93 Co.upf
CELL_PARAMETERS angstrom
1.805 -1.813 0.000
1.805 1.813 0.000
0.000 0.000 9.624
ATOMIC_POSITIONS angstrom
K 0.000 0.000 0.000
Cr 1.805 0.000 3.113
Cr 1.805 0.000 6.511
Co 0.000 0.000 4.812
! - total magnetization (μB/cell) = 1.370
! - ΔH_f (0 K) (eV per atom) = 1.032
! - SG = Cmmm, No. 65
! - distance to the lowest polymorph of the same formula (meV per atom) = 275.1


No. 10
! BiSb2RhPb PBE optimized geometry; values from VASP
&SYSTEM
  ibrav = 0, nat = 5, ntyp = 4
/
ATOMIC_SPECIES
Bi 208.98 Bi.upf
Sb 121.76 Sb.upf
Rh 102.91 Rh.upf
Pb 207.20 Pb.upf
CELL_PARAMETERS angstrom
5.657 0.000 0.000
0.000 5.657 0.000
0.000 0.000 5.802
ATOMIC_POSITIONS angstrom
Bi 0.000 0.000 0.000
Sb 0.000 2.829 2.901
Sb 2.829 0.000 2.901
Rh 2.829 2.829 0.000
Pb 0.000 0.000 2.901
! - ΔE_f (raw) (eV/atom) = 1.497
! - total magnetization (μB/cell) = 0.000
! - SG = P4/mmm, No. 123


No. 11
! InHgI2O PBE optimized geometry; values from VASP
&SYSTEM
  ibrav = 0, nat = 5, ntyp = 4
/
ATOMIC_SPECIES
In 114.82 In.upf
Hg 200.59 Hg.upf
I 126.90 I.upf
O 16.00 O.upf
CELL_PARAMETERS angstrom
6.127 0.000 0.000
0.000 6.127 0.000
0.000 0.000 3.974
ATOMIC_POSITIONS angstrom
In 0.000 0.000 0.000
Hg 3.064 3.064 1.987
I 0.000 3.064 0.000
I 3.064 0.000 0.000
O 0.000 0.000 1.987
! - ΔE_f (raw) (eV/atom) = -0.318
! - total magnetization (μB/cell) = 0.000
! - SG = P4/mmm, No. 123
! - distance to the lowest polymorph of the same formula (meV per atom) = 0.0


No. 12
! ZnAsBr PBE optimized geometry; values from VASP
&SYSTEM
  ibrav = 0, nat = 3, ntyp = 3
/
ATOMIC_SPECIES
Zn 65.41 Zn.upf
As 74.92 As.upf
Br 79.90 Br.upf
CELL_PARAMETERS angstrom
0.000 3.432 3.432
3.432 0.000 3.432
3.432 3.432 0.000
ATOMIC_POSITIONS angstrom
Zn 0.000 0.000 0.000
As 3.432 3.432 3.432
Br 1.716 1.716 1.716
! - ΔE_f (raw) (eV/atom) = 0.865
! - total magnetization (μB/cell) = 1.177
! - SG = F-43m, No. 216
! - distance to the lowest polymorph of the same formula (meV per atom) = 1109.5


No. 13
! LuMgPt2 PBE optimized geometry; values from VASP
&SYSTEM
  ibrav = 0, nat = 4, ntyp = 3
/
ATOMIC_SPECIES
Lu 174.97 Lu.upf
Mg 24.30 Mg.upf
Pt 195.08 Pt.upf
CELL_PARAMETERS angstrom
3.321 0.000 0.000
0.000 3.321 0.000
0.000 0.000 6.544
ATOMIC_POSITIONS angstrom
Lu 0.000 0.000 0.000
Mg 0.000 0.000 3.272
Pt 1.660 1.660 1.727
Pt 1.660 1.660 4.817
! - total magnetization (μB/cell) = 0.000
! - ΔH_f (0 K) (eV per atom) = -1.105
! - SG = P4/mmm, No. 123


No. 14
! ReAgSb2 PBE optimized geometry; values from VASP
&SYSTEM
  ibrav = 0, nat = 4, ntyp = 3
/
ATOMIC_SPECIES
Re 186.21 Re.upf
Ag 107.87 Ag.upf
Sb 121.76 Sb.upf
CELL_PARAMETERS angstrom
0.000 3.408 3.408
3.408 0.000 3.408
3.408 3.408 0.000
ATOMIC_POSITIONS angstrom
Re 0.000 0.000 0.000
Ag 3.408 3.408 3.408
Sb 1.704 1.704 1.704
Sb 5.112 5.112 5.112
! - ΔE_f (raw) (eV/atom) = 0.612
! - total magnetization (μB/cell) = 0.000
! - SG = Fm-3m, No. 225
! - distance to the lowest polymorph of the same formula (meV per atom) = 290.3


No. 15
! LiPaB12 PBE optimized geometry; values from VASP
&SYSTEM
  ibrav = 0, nat = 14, ntyp = 3
/
ATOMIC_SPECIES
Li 6.94 Li.upf
Pa 231.04 Pa.upf
B 10.81 B.upf
CELL_PARAMETERS angstrom
4.093 0.000 0.000
0.000 4.093 0.000
0.000 0.000 8.235
ATOMIC_POSITIONS angstrom
Li 0.000 0.000 0.000
Pa 0.000 0.000 4.117
B 0.816 2.047 2.075
B 0.816 2.047 6.159
B 2.047 0.816 2.075
B 2.047 0.816 6.159
B 2.047 2.047 0.829
B 2.047 2.047 3.308
B 2.047 2.047 4.926
B 2.047 2.047 7.405
B 2.047 3.277 2.075
B 2.047 3.277 6.159
B 3.277 2.047 2.075
B 3.277 2.047 6.159
! - total magnetization (μB/cell) = 1.054
! - ΔH_f (0 K) (eV per atom) = -0.238
! - SG = P4/mmm, No. 123


No. 16
! Tb3GaSeCl PBE optimized geometry; values from VASP
&SYSTEM
  ibrav = 0, nat = 12, ntyp = 4
/
ATOMIC_SPECIES
Tb 158.93 Tb.upf
Ga 69.72 Ga.upf
Se 78.96 Se.upf
Cl 35.45 Cl.upf
CELL_PARAMETERS angstrom
8.680 0.000 0.000
0.000 3.913 0.000
-2.522 0.000 9.226
ATOMIC_POSITIONS angstrom
Tb 0.115 0.978 4.411
Tb 1.163 0.978 0.889
Tb 0.806 2.935 7.655
Tb 5.352 0.978 1.571
Tb 4.995 2.935 8.337
Tb 6.043 2.935 4.815
Ga -1.485 0.978 7.019
Ga 7.644 2.935 2.207
Se 3.205 2.935 1.316
Se 2.953 0.978 7.910
Cl 1.857 2.935 5.088
Cl 4.301 0.978 4.138
! - ΔE_f (raw) (eV/atom) = -1.239
! - total magnetization (μB/cell) = 0.000
! - SG = P2_1/m, No. 11


No. 17
! V4Ir5Ru PBE optimized geometry; values from VASP
&SYSTEM
  ibrav = 0, nat = 10, ntyp = 3
/
ATOMIC_SPECIES
V 50.94 V.upf
Ir 192.22 Ir.upf
Ru 101.07 Ru.upf
CELL_PARAMETERS angstrom
2.732 0.000 0.000
0.000 2.732 0.000
0.000 0.000 18.742
ATOMIC_POSITIONS angstrom
V 0.000 0.000 1.853
V 0.000 0.000 5.554
V 0.000 0.000 13.188
V 0.000 0.000 16.888
Ir 1.366 1.366 0.000
Ir 1.366 1.366 3.711
Ir 1.366 1.366 7.453
Ir 1.366 1.366 11.289
Ir 1.366 1.366 15.031
Ru 0.000 0.000 9.371
! - total magnetization (μB/cell) = 0.000
! - ΔH_f (0 K) (eV per atom) = -0.397
! - SG = P4/mmm, No. 123
! - distance to the lowest polymorph of the same formula (meV per atom) = 0.0


No. 18
! TePtPb2 PBE optimized geometry; values from VASP
&SYSTEM
  ibrav = 0, nat = 8, ntyp = 3
/
ATOMIC_SPECIES
Te 127.60 Te.upf
Pt 195.08 Pt.upf
Pb 207.20 Pb.upf
CELL_PARAMETERS angstrom
-3.361 3.361 6.636
3.361 -3.361 6.636
3.361 3.361 -6.636
ATOMIC_POSITIONS angstrom
Te 0.000 0.000 0.000
Te 0.000 3.361 3.318
Pt 3.361 0.000 3.318
Pt 0.000 0.000 6.636
Pb 1.681 -1.315 4.977
Pb 2.046 1.681 1.659
Pb 1.681 4.676 -1.659
Pb 1.315 1.681 8.295
! - ΔE_f (raw) (eV/atom) = -0.043
! - total magnetization (μB/cell) = 0.000
! - SG = I-42d, No. 122


No. 19
! AcNd4Dy2 PBE optimized geometry; values from VASP
&SYSTEM
  ibrav = 0, nat = 7, ntyp = 3
/
ATOMIC_SPECIES
Ac 227.00 Ac.upf
Nd 144.24 Nd.upf
Dy 162.50 Dy.upf
CELL_PARAMETERS angstrom
6.124 -3.280 0.000
6.124 3.280 0.000
-0.976 0.000 6.334
ATOMIC_POSITIONS angstrom
Ac 0.000 0.000 0.000
Nd 3.062 1.640 0.000
Nd 1.485 0.000 3.217
Nd 3.062 -1.640 0.000
Nd 9.787 0.000 3.117
Dy 4.907 0.000 4.654
Dy 6.364 0.000 1.680
! - total magnetization (μB/cell) = 0.000
! - ΔH_f (0 K) (eV per atom) = 0.232
! - SG = C2/m, No. 12
! - distance to the lowest polymorph of the same formula (meV per atom) = 72.8


No. 20
! Hf2Be3Cu PBE optimized geometry; values from VASP
&SYSTEM
  ibrav = 0, nat = 12, ntyp = 3
/
ATOMIC_SPECIES
Hf 178.49 Hf.upf
Be 9.01 Be.upf
Cu 63.55 Cu.upf
CELL_PARAMETERS angstrom
0.000 3.871 6.701
3.193 0.000 6.701
3.193 3.871 0.000
ATOMIC_POSITIONS angstrom
Hf 4.796 3.871 6.701
Hf 1.596 1.936 3.350
Hf 4.789 5.807 10.051
Hf 1.589 3.871 6.701
Be 3.193 1.978 5.609
Be 3.193 3.871 4.519
Be 3.193 1.978 7.792
Be 3.193 5.765 5.609
Be 3.193 3.871 8.882
Be 3.193 5.765 7.792
Cu 3.193 3.871 2.236
Cu 3.193 3.871 11.166
! - total magnetization (μB/cell) = 0.001
! - ΔH_f (0 K) (eV per atom) = -0.132
! - SG = Fmmm, No. 69


No. 21
! PaB2O6F PBE optimized geometry; values from VASP
&SYSTEM
  ibrav = 0, nat = 20, ntyp = 4
/
ATOMIC_SPECIES
Pa 231.04 Pa.upf
B 10.81 B.upf
O 16.00 O.upf
F 19.00 F.upf
CELL_PARAMETERS angstrom
4.870 -4.811 0.000
4.870 4.811 0.000
-0.082 0.000 4.340
ATOMIC_POSITIONS angstrom
Pa 4.809 2.983 3.255
Pa 4.850 -2.983 1.085
B 3.209 0.624 0.742
B 3.168 -0.624 2.912
B 6.491 0.624 1.428
B 6.450 -0.624 3.598
O 1.916 1.258 1.042
O 4.122 1.831 1.251
O 3.427 0.554 3.684
O 1.875 -1.258 3.212
O 5.578 1.831 0.919
O 3.467 -0.554 1.514
O 6.191 0.554 2.827
O 4.081 -1.831 3.421
O 7.784 1.258 1.128
O 6.232 -0.554 0.657
O 5.537 -1.831 3.089
O 7.743 -1.258 3.298
F 4.850 4.220 1.085
F 4.809 -4.220 3.255
! - ΔE_f (raw) (eV/atom) = -2.521
! - total magnetization (μB/cell) = 0.000
! - SG = C2/c, No. 15


No. 22
! PmNd4Dy7 PBE optimized geometry; values from VASP
&SYSTEM
  ibrav = 0, nat = 12, ntyp = 3
/
ATOMIC_SPECIES
Pm 145.00 Pm.upf
Nd 144.24 Nd.upf
Dy 162.50 Dy.upf
CELL_PARAMETERS angstrom
6.078 -2.971 0.000
6.078 2.971 0.000
-6.030 0.000 11.343
ATOMIC_POSITIONS angstrom
Pm 0.000 0.000 0.000
Nd -1.265 0.000 7.605
Nd 3.075 0.000 2.532
Nd 3.051 0.000 8.811
Nd 7.391 0.000 3.738
Dy -1.092 0.000 3.596
Dy -3.003 0.000 10.471
Dy 1.438 0.000 5.709
Dy 6.078 0.000 0.000
Dy 4.688 0.000 5.634
Dy 9.129 0.000 0.872
Dy 7.217 0.000 7.747
! - total magnetization (μB/cell) = 0.000
! - ΔH_f (0 K) (eV per atom) = 0.254
! - SG = C2/m, No. 12
! - distance to the lowest polymorph of the same formula (meV per atom) = 169.3


No. 23
! TlTcAg2 PBE optimized geometry; values from VASP
&SYSTEM
  ibrav = 0, nat = 4, ntyp = 3
/
ATOMIC_SPECIES
Tl 204.38 Tl.upf
Tc 98.00 Tc.upf
Ag 107.87 Ag.upf
CELL_PARAMETERS angstrom
2.844 0.000 0.000
0.000 2.844 0.000
0.000 0.000 9.560
ATOMIC_POSITIONS angstrom
Tl 0.000 0.000 0.000
Tc 0.000 0.000 4.780
Ag 1.422 1.422 2.692
Ag 1.422 1.422 6.867
! - total magnetization (μB/cell) = 0.000
! - ΔH_f (0 K) (eV per atom) = 0.540
! - SG = P4/mmm, No. 123
! - distance to the lowest polymorph of the same formula (meV per atom) = 15.8